1.
Lu2Te3 | PBE | optimized geometry

The structure belongs to space group Fddd (No. 70, origin choice 2); the cell edges are 8.5997, 12.1291 and 25.6780 Å and the angles 90.00°, 90.00° and 90.00°. The inequivalent atoms are Lu at (0.1250, 0.1250, 0.0425), Lu at (0.1250, 0.1250, 0.3753), Te at (0.1230, 0.3750, 0.8750) and Te at (0.1235, 0.3746, 0.2078).

As for the formation energy from raw total energies: -6.723 eV per formula unit. Its crystal system is orthorhombic. The calculated volume comes out at 33.5 Å³ per atom. The magnetization is 0.00 μB/f.u.

***

2.
Mn2HgBi | PBE | optimized geometry

The structure belongs to space group Fm-3m (No. 225); the cell edges are 6.4634, 6.4634 and 6.4634 Å and the angles 90.00°, 90.00° and 90.00°. The inequivalent atoms are Mn at (0.2500, 0.2500, 0.2500), Hg at (0.0000, 0.0000, 0.0000) and Bi at (0.0000, 0.0000, 0.5000).

The energy above the most stable polymorph in this dataset is 6.994 kcal/mol of atoms. Its energy of formation from the pure elements is 935 meV per atom. Its crystal system is cubic. The calculated volume comes out at 16.9 Å³ per atom. The magnetization is 0.00 μB/f.u.

***

3.
MgScReMo | PBE | optimized geometry

The structure belongs to space group F-43m (No. 216); the cell edges are 6.4786, 6.4786 and 6.4786 Å and the angles 90.00°, 90.00° and 90.00°. The inequivalent atoms are Mg at (0.0000, 0.0000, 0.0000), Sc at (0.2500, 0.2500, 0.2500), Re at (0.0000, 0.0000, 0.5000) and Mo at (0.2500, 0.2500, 0.7500).

Its energy of formation from the pure elements is 41 meV per atom. Its crystal system is cubic. The calculated volume comes out at 17.0 Å³ per atom. The magnetization is 0.00 μB/f.u.

***

4.
Na3Al | PBE | optimized geometry

The structure belongs to space group Fm-3m (No. 225); the cell edges are 7.6883, 7.6883 and 7.6883 Å and the angles 90.00°, 90.00° and 90.00°. The inequivalent atoms are Na at (0.0000, 0.0000, 0.0000), Na at (0.2500, 0.2500, 0.2500) and Al at (0.0000, 0.0000, 0.5000).

Its energy of formation from the pure elements is 180 meV per atom. Its crystal system is cubic. The calculated volume comes out at 28.4 Å³ per atom. The magnetization is 0.00 μB/f.u.